No. 1
MgRu2Rh: relaxed, GGA-PBE.

Properties
- uncorrected energy (eV per cell) = -26.93
- energy relative to the elements (eV per atom) = 0.14
- magnetization (μB per formula unit) = 1.2

a = 4.362 Å, b = 4.362 Å, c = 4.362 Å
α = 60.00°, β = 60.00°, γ = 60.00°
Each line ends with the local moment (μB).
Atoms (fractional coordinates):
Mg (0.500, 0.500, 0.500)  0.00
Rh (0.750, 0.750, 0.750)  0.37
Ru (0.000, 0.000, 0.000)  0.73
Ru (0.250, 0.250, 0.250)  0.11


No. 2
MgRuRh: relaxed, GGA-PBE.

Properties
- E above lowest polymorph (meV/atom) = 0
- uncorrected energy (eV per cell) = -18.50
- energy relative to the elements (eV per atom) = -0.09
- magnetization (μB per formula unit) = 0.0

a = 6.197 Å, b = 6.197 Å, c = 6.197 Å
α = 154.02°, β = 154.02°, γ = 37.07°
Atoms (fractional coordinates):
Mg (0.001, 0.001, 0.000)
Rh (0.676, 0.676, 0.000)
Ru (0.323, 0.323, 0.000)


No. 3
MgRu2Rh: relaxed, GGA-PBE.

Properties
- uncorrected energy (eV per cell) = -26.82
- energy relative to the elements (eV per atom) = 0.17
- magnetization (μB per formula unit) = 1.1

a = 4.619 Å, b = 2.754 Å, c = 4.715 Å
α = 83.80°, β = 90.00°, γ = 90.00°
Each line ends with the local moment (μB).
Atoms (fractional coordinates):
Mg (0.500, 0.250, 0.250)  0.00
Rh (0.500, 0.750, 0.750)  0.18
Ru (0.000, 0.954, 0.995)  0.43
Ru (0.000, 0.546, 0.505)  0.43


No. 4
MgRuRh: relaxed, GGA-PBE.

Properties
- E above lowest polymorph (meV/atom) = 117
- uncorrected energy (eV per cell) = -18.15
- energy relative to the elements (eV per atom) = 0.02
- magnetization (μB per formula unit) = 0.4

a = 4.417 Å, b = 4.417 Å, c = 2.735 Å
α = 90.00°, β = 90.00°, γ = 120.00°
Each line ends with the local moment (μB).
Atoms (fractional coordinates):
Mg (0.000, 0.000, 0.000)  0.00
Rh (0.667, 0.333, 0.500)  0.05
Ru (0.333, 0.667, 0.500)  0.29


No. 5
Mg2RuRh: relaxed, GGA-PBE.

Properties
- uncorrected energy (eV per cell) = -19.97
- energy relative to the elements (eV per atom) = -0.04
- magnetization (μB per formula unit) = 0.0

a = 3.055 Å, b = 4.722 Å, c = 4.303 Å
α = 90.00°, β = 90.00°, γ = 90.00°
Atoms (fractional coordinates):
Mg (0.000, 0.000, 0.000)
Mg (0.500, 0.500, 0.000)
Rh (0.500, 0.000, 0.500)
Ru (0.000, 0.500, 0.500)


No. 6
MgRu2Rh2: relaxed, GGA-PBE.

Properties
- E above lowest polymorph (meV/atom) = 31
- uncorrected energy (eV per cell) = -68.47
- energy relative to the elements (eV per atom) = 0.12
- magnetization (μB per formula unit) = 0.0

a = 7.490 Å, b = 7.490 Å, c = 2.773 Å
α = 90.00°, β = 90.00°, γ = 90.00°
Atoms (fractional coordinates):
Ru (0.175, 0.675, 0.500)
Ru (0.675, 0.825, 0.500)
Ru (0.825, 0.325, 0.500)
Ru (0.325, 0.175, 0.500)
Mg (0.000, 0.000, 0.000)
Mg (0.500, 0.500, 0.000)
Rh (0.378, 0.878, 0.000)
Rh (0.878, 0.622, 0.000)
Rh (0.622, 0.122, 0.000)
Rh (0.122, 0.378, 0.000)


No. 7
Mg2RuRh: relaxed, GGA-PBE.

Properties
- uncorrected energy (eV per cell) = -19.98
- energy relative to the elements (eV per atom) = -0.04
- magnetization (μB per formula unit) = 0.0

a = 4.876 Å, b = 4.876 Å, c = 4.876 Å
α = 132.15°, β = 132.15°, γ = 69.99°
Atoms (fractional coordinates):
Mg (0.000, 0.000, 0.000)
Mg (0.250, 0.750, 0.500)
Rh (0.500, 0.500, 0.000)
Ru (0.750, 0.250, 0.500)


No. 8
MgRu2Rh: relaxed, GGA-PBE.

Properties
- uncorrected energy (eV per cell) = -27.63
- energy relative to the elements (eV per atom) = -0.03
- magnetization (μB per formula unit) = 0.0

a = 2.802 Å, b = 2.802 Å, c = 7.521 Å
α = 90.00°, β = 90.00°, γ = 90.00°
Atoms (fractional coordinates):
Mg (0.000, 0.000, 0.503)
Rh (0.500, 0.500, 0.758)
Ru (0.000, 0.000, 0.007)
Ru (0.500, 0.500, 0.232)


No. 9
Mg2RuRh: relaxed, GGA-PBE.

Properties
- uncorrected energy (eV per cell) = -20.00
- energy relative to the elements (eV per atom) = -0.05
- magnetization (μB per formula unit) = 0.5

a = 3.918 Å, b = 2.867 Å, c = 6.324 Å
α = 63.38°, β = 90.00°, γ = 90.00°
Each line ends with the local moment (μB).
Atoms (fractional coordinates):
Mg (0.000, 0.018, 0.982)  0.00
Mg (0.500, 0.232, 0.268)  0.00
Rh (0.000, 0.490, 0.510)  0.11
Ru (0.500, 0.761, 0.739)  0.43


No. 10
MgRuRh6: relaxed, GGA-PBE.

Properties
- uncorrected energy (eV per cell) = -55.92
- energy relative to the elements (eV per atom) = -0.12
- magnetization (μB per formula unit) = 0.0

a = 3.848 Å, b = 3.848 Å, c = 7.761 Å
α = 90.00°, β = 90.00°, γ = 90.00°
Atoms (fractional coordinates):
Mg (0.000, 0.000, 0.000)
Ru (0.000, 0.000, 0.500)
Rh (0.500, 0.500, 0.000)
Rh (0.500, 0.500, 0.500)
Rh (0.500, 0.000, 0.258)
Rh (0.500, 0.000, 0.742)
Rh (0.000, 0.500, 0.258)
Rh (0.000, 0.500, 0.742)


No. 11
Mg2RuRh: relaxed, GGA-PBE.

Properties
- uncorrected energy (eV per cell) = -20.19
- energy relative to the elements (eV per atom) = -0.09
- magnetization (μB per formula unit) = 0.0

a = 2.862 Å, b = 2.862 Å, c = 8.216 Å
α = 90.00°, β = 90.00°, γ = 90.00°
Atoms (fractional coordinates):
Mg (0.000, 0.000, 0.962)
Mg (0.500, 0.500, 0.290)
Rh (0.000, 0.000, 0.522)
Ru (0.500, 0.500, 0.725)


No. 12
MgRuRh: relaxed, GGA-PBE.

Properties
- E above lowest polymorph (meV/atom) = 69
- uncorrected energy (eV per cell) = -18.29
- energy relative to the elements (eV per atom) = -0.02
- magnetization (μB per formula unit) = 0.0

a = 4.741 Å, b = 4.741 Å, c = 4.741 Å
α = 145.49°, β = 131.91°, γ = 60.53°
Atoms (fractional coordinates):
Mg (0.999, 0.999, 0.000)
Rh (0.330, 0.330, 0.000)
Ru (0.671, 0.671, 0.000)


No. 13
Mg2RuRh: relaxed, GGA-PBE.

Properties
- uncorrected energy (eV per cell) = -20.08
- energy relative to the elements (eV per atom) = -0.07
- magnetization (μB per formula unit) = 0.2

a = 2.804 Å, b = 2.804 Å, c = 8.521 Å
α = 90.00°, β = 90.00°, γ = 112.29°
Each line ends with the local moment (μB).
Atoms (fractional coordinates):
Mg (0.000, 0.000, 0.003)  0.00
Mg (0.000, 0.000, 0.497)  0.00
Rh (0.500, 0.500, 0.250)  -0.01
Ru (0.500, 0.500, 0.750)  0.24


No. 14
MgRu2Rh: relaxed, GGA-PBE.

Properties
- uncorrected energy (eV per cell) = -27.31
- energy relative to the elements (eV per atom) = 0.05
- magnetization (μB per formula unit) = 0.0

a = 4.897 Å, b = 4.897 Å, c = 4.897 Å
α = 134.89°, β = 134.89°, γ = 65.70°
Atoms (fractional coordinates):
Mg (0.250, 0.750, 0.500)
Rh (0.750, 0.250, 0.500)
Ru (0.000, 0.000, 0.000)
Ru (0.500, 0.500, 0.000)


No. 15
MgRu2Rh: relaxed, GGA-PBE.

Properties
- uncorrected energy (eV per cell) = -27.08
- energy relative to the elements (eV per atom) = 0.11
- magnetization (μB per formula unit) = 1.1

a = 2.909 Å, b = 4.411 Å, c = 4.561 Å
α = 90.00°, β = 90.00°, γ = 90.00°
Each line ends with the local moment (μB).
Atoms (fractional coordinates):
Mg (0.500, 0.000, 0.500)  0.00
Rh (0.000, 0.500, 0.500)  0.17
Ru (0.000, 0.000, 0.000)  0.38
Ru (0.500, 0.500, 0.000)  0.59